Entry from the Alexandria database: a geometry-optimized Y2HoCd2In2 structure (PBE).

```
data_Y2HoCd2In2
_chemical_formula_sum 'Y2 Ho1 Cd2 In2'
_space_group_name_H-M_alt 'P 1'
_space_group_IT_number 1
_cell_length_a 9.410
_cell_length_b 9.410
_cell_length_c 9.410
_cell_angle_alpha 30.36
_cell_angle_beta 30.36
_cell_angle_gamma 30.36
loop_
_space_group_symop_operation_xyz
'x,y,z'
loop_
_atom_site_label
_atom_site_type_symbol
_atom_site_fract_x
_atom_site_fract_y
_atom_site_fract_z
Y1 Y 0.128 0.128 0.128
Y2 Y 0.872 0.872 0.872
Ho1 Ho 0.000 0.000 0.000
Cd1 Cd 0.393 0.393 0.393
Cd2 Cd 0.607 0.607 0.607
In1 In 0.259 0.259 0.259
In2 In 0.741 0.741 0.741
```

Output
Energy relative to the elements   -1.81 eV per formula unit
Total magnetic moment   0.000 μB per formula unit
Calculated density   7.016 g cm⁻³


Entry from the Alexandria database: a geometry-optimized YHo2Cd2In2 structure (PBE).

```
data_YHo2Cd2In2
_chemical_formula_sum 'Y1 Ho2 Cd2 In2'
_space_group_name_H-M_alt 'P 1'
_space_group_IT_number 1
_cell_length_a 9.359
_cell_length_b 9.359
_cell_length_c 9.359
_cell_angle_alpha 30.54
_cell_angle_beta 30.54
_cell_angle_gamma 30.54
loop_
_space_group_symop_operation_xyz
'x,y,z'
loop_
_atom_site_label
_atom_site_type_symbol
_atom_site_fract_x
_atom_site_fract_y
_atom_site_fract_z
Y1 Y 0.000 0.000 0.000
Ho1 Ho 0.128 0.128 0.128
Ho2 Ho 0.872 0.872 0.872
Cd1 Cd 0.397 0.397 0.397
Cd2 Cd 0.603 0.603 0.603
In1 In 0.258 0.258 0.258
In2 In 0.742 0.742 0.742
```

Output
Energy relative to the elements   -1.74 eV per formula unit
Total magnetic moment   0.000 μB per formula unit
Calculated density   7.728 g cm⁻³


Entry from the Alexandria database: a geometry-optimized HoZrCdIn structure (PBE).

```
data_HoZrCdIn
_chemical_formula_sum 'Ho1 Zr1 Cd1 In1'
_space_group_name_H-M_alt 'P 1'
_space_group_IT_number 1
_cell_length_a 5.122
_cell_length_b 5.122
_cell_length_c 5.122
_cell_angle_alpha 60.00
_cell_angle_beta 60.00
_cell_angle_gamma 60.00
loop_
_space_group_symop_operation_xyz
'x,y,z'
loop_
_atom_site_label
_atom_site_type_symbol
_atom_site_fract_x
_atom_site_fract_y
_atom_site_fract_z
Ho1 Ho 0.000 0.000 0.000
Zr1 Zr 0.500 0.500 0.500
Cd1 Cd 0.250 0.250 0.250
In1 In 0.750 0.750 0.750
```

Output
Energy relative to the elements   -0.99 eV per formula unit
Total magnetic moment   0.000 μB per formula unit
Calculated density   8.448 g cm⁻³


Entry from the Alexandria database: a geometry-optimized Ho5Cd2Ir structure (PBE).

```
data_Ho5Cd2Ir
_chemical_formula_sum 'Ho10 Cd4 Ir2'
_space_group_name_H-M_alt 'P 1'
_space_group_IT_number 1
_cell_length_a 6.670
_cell_length_b 6.670
_cell_length_c 12.809
_cell_angle_alpha 90.00
_cell_angle_beta 90.00
_cell_angle_gamma 130.71
loop_
_space_group_symop_operation_xyz
'x,y,z'
loop_
_atom_site_label
_atom_site_type_symbol
_atom_site_fract_x
_atom_site_fract_y
_atom_site_fract_z
Ho1 Ho 0.080 0.920 0.603
Ho2 Ho 0.080 0.920 0.897
Ho3 Ho 0.373 0.627 0.564
Ho4 Ho 0.373 0.627 0.936
Ho5 Ho 0.407 0.593 0.250
Ho6 Ho 0.593 0.407 0.750
Ho7 Ho 0.627 0.373 0.064
Ho8 Ho 0.627 0.373 0.436
Ho9 Ho 0.920 0.080 0.103
Ho10 Ho 0.920 0.080 0.397
Cd1 Cd 0.184 0.816 0.137
Cd2 Cd 0.184 0.816 0.363
Cd3 Cd 0.816 0.184 0.637
Cd4 Cd 0.816 0.184 0.863
Ir1 Ir 0.239 0.761 0.750
Ir2 Ir 0.761 0.239 0.250
```

Output
Energy relative to the elements   -1.52 eV per formula unit
Total magnetic moment   0.331 μB per formula unit
Calculated density   9.546 g cm⁻³


Entry from the Alexandria database: a geometry-optimized Ho4Cd3Ir structure (PBE).

```
data_Ho4Cd3Ir
_chemical_formula_sum 'Ho4 Cd3 Ir1'
_space_group_name_H-M_alt 'P 1'
_space_group_IT_number 1
_cell_length_a 3.572
_cell_length_b 3.572
_cell_length_c 15.229
_cell_angle_alpha 90.00
_cell_angle_beta 90.00
_cell_angle_gamma 90.00
loop_
_space_group_symop_operation_xyz
'x,y,z'
loop_
_atom_site_label
_atom_site_type_symbol
_atom_site_fract_x
_atom_site_fract_y
_atom_site_fract_z
Ho1 Ho 0.000 0.000 0.104
Ho2 Ho 0.000 0.000 0.371
Ho3 Ho 0.000 0.000 0.629
Ho4 Ho 0.000 0.000 0.896
Cd1 Cd 0.500 0.500 0.242
Cd2 Cd 0.500 0.500 0.500
Cd3 Cd 0.500 0.500 0.758
Ir1 Ir 0.500 0.500 0.000
```

Output
Energy relative to the elements   -3.76 eV per formula unit
Total magnetic moment   0.000 μB per formula unit
Calculated density   10.165 g cm⁻³


Entry from the Alexandria database: a geometry-optimized Ho4Cd5Ir2 structure (PBE).

```
data_Ho4Cd5Ir2
_chemical_formula_sum 'Ho4 Cd5 Ir2'
_space_group_name_H-M_alt 'P 1'
_space_group_IT_number 1
_cell_length_a 7.700
_cell_length_b 3.630
_cell_length_c 9.548
_cell_angle_alpha 90.00
_cell_angle_beta 94.15
_cell_angle_gamma 90.00
loop_
_space_group_symop_operation_xyz
'x,y,z'
loop_
_atom_site_label
_atom_site_type_symbol
_atom_site_fract_x
_atom_site_fract_y
_atom_site_fract_z
Ho1 Ho 0.170 0.000 0.351
Ho2 Ho 0.211 0.000 0.945
Ho3 Ho 0.789 0.000 0.055
Ho4 Ho 0.830 0.000 0.649
Cd1 Cd 0.187 0.500 0.652
Cd2 Cd 0.455 0.500 0.171
Cd3 Cd 0.500 0.500 0.500
Cd4 Cd 0.545 0.500 0.829
Cd5 Cd 0.813 0.500 0.348
Ir1 Ir 0.076 0.500 0.145
Ir2 Ir 0.924 0.500 0.855
```

Output
Energy relative to the elements   -5.48 eV per formula unit
Total magnetic moment   0.000 μB per formula unit
Calculated density   10.019 g cm⁻³


Entry from the Alexandria database: a geometry-optimized Ho3CdIr structure (PBE).

```
data_Ho3CdIr
_chemical_formula_sum 'Ho6 Cd2 Ir2'
_space_group_name_H-M_alt 'P 1'
_space_group_IT_number 1
_cell_length_a 8.800
_cell_length_b 8.800
_cell_length_c 3.936
_cell_angle_alpha 90.00
_cell_angle_beta 90.00
_cell_angle_gamma 110.20
loop_
_space_group_symop_operation_xyz
'x,y,z'
loop_
_atom_site_label
_atom_site_type_symbol
_atom_site_fract_x
_atom_site_fract_y
_atom_site_fract_z
Ho1 Ho 0.179 0.428 0.500
Ho2 Ho 0.180 0.820 0.000
Ho3 Ho 0.428 0.179 0.500
Ho4 Ho 0.572 0.821 0.500
Ho5 Ho 0.820 0.180 0.000
Ho6 Ho 0.821 0.572 0.500
Cd1 Cd 0.000 0.000 0.500
Cd2 Cd 0.500 0.500 0.000
Ir1 Ir 0.000 0.500 0.000
Ir2 Ir 0.500 0.000 0.000
```

Output
Energy relative to the elements   -2.25 eV per formula unit
Total magnetic moment   0.000 μB per formula unit
Calculated density   9.281 g cm⁻³


Entry from the Alexandria database: a geometry-optimized Ho4CdIr3 structure (PBE).

```
data_Ho4CdIr3
_chemical_formula_sum 'Ho4 Cd1 Ir3'
_space_group_name_H-M_alt 'P 1'
_space_group_IT_number 1
_cell_length_a 4.858
_cell_length_b 4.858
_cell_length_c 7.159
_cell_angle_alpha 90.00
_cell_angle_beta 90.00
_cell_angle_gamma 90.00
loop_
_space_group_symop_operation_xyz
'x,y,z'
loop_
_atom_site_label
_atom_site_type_symbol
_atom_site_fract_x
_atom_site_fract_y
_atom_site_fract_z
Ho1 Ho 0.000 0.500 0.236
Ho2 Ho 0.000 0.500 0.764
Ho3 Ho 0.500 0.000 0.236
Ho4 Ho 0.500 0.000 0.764
Cd1 Cd 0.000 0.000 0.500
Ir1 Ir 0.000 0.000 0.000
Ir2 Ir 0.500 0.500 0.000
Ir3 Ir 0.500 0.500 0.500
```

Output
Energy relative to the elements   -5.55 eV per formula unit
Total magnetic moment   0.000 μB per formula unit
Calculated density   13.256 g cm⁻³


Entry from the Alexandria database: a geometry-optimized Ho5Cd4Ir structure (PBE).

```
data_Ho5Cd4Ir
_chemical_formula_sum 'Ho5 Cd4 Ir1'
_space_group_name_H-M_alt 'P 1'
_space_group_IT_number 1
_cell_length_a 3.597
_cell_length_b 3.597
_cell_length_c 18.970
_cell_angle_alpha 90.00
_cell_angle_beta 90.00
_cell_angle_gamma 90.00
loop_
_space_group_symop_operation_xyz
'x,y,z'
loop_
_atom_site_label
_atom_site_type_symbol
_atom_site_fract_x
_atom_site_fract_y
_atom_site_fract_z
Ho1 Ho 0.000 0.000 0.000
Ho2 Ho 0.000 0.000 0.206
Ho3 Ho 0.000 0.000 0.417
Ho4 Ho 0.000 0.000 0.583
Ho5 Ho 0.000 0.000 0.794
Cd1 Cd 0.500 0.500 0.103
Cd2 Cd 0.500 0.500 0.308
Cd3 Cd 0.500 0.500 0.692
Cd4 Cd 0.500 0.500 0.897
Ir1 Ir 0.500 0.500 0.500
```

Output
Energy relative to the elements   -4.38 eV per formula unit
Total magnetic moment   0.000 μB per formula unit
Calculated density   9.919 g cm⁻³


Entry from the Alexandria database: a geometry-optimized Ho2CdIr2 structure (PBE).

```
data_Ho2CdIr2
_chemical_formula_sum 'Ho4 Cd2 Ir4'
_space_group_name_H-M_alt 'P 1'
_space_group_IT_number 1
_cell_length_a 5.761
_cell_length_b 5.761
_cell_length_c 8.318
_cell_angle_alpha 107.10
_cell_angle_beta 107.10
_cell_angle_gamma 55.82
loop_
_space_group_symop_operation_xyz
'x,y,z'
loop_
_atom_site_label
_atom_site_type_symbol
_atom_site_fract_x
_atom_site_fract_y
_atom_site_fract_z
Ho1 Ho 0.017 0.693 0.852
Ho2 Ho 0.307 0.983 0.648
Ho3 Ho 0.693 0.017 0.352
Ho4 Ho 0.983 0.307 0.148
Cd1 Cd 0.333 0.667 0.250
Cd2 Cd 0.667 0.333 0.750
Ir1 Ir 0.198 0.518 0.481
Ir2 Ir 0.482 0.802 0.019
Ir3 Ir 0.518 0.198 0.981
Ir4 Ir 0.802 0.482 0.519
```

Output
Energy relative to the elements   -3.43 eV per formula unit
Total magnetic moment   0.000 μB per formula unit
Calculated density   12.746 g cm⁻³


Entry from the Alexandria database: a geometry-optimized Ho5Cd2Ir2 structure (PBE).

```
data_Ho5Cd2Ir2
_chemical_formula_sum 'Ho10 Cd4 Ir4'
_space_group_name_H-M_alt 'P 1'
_space_group_IT_number 1
_cell_length_a 8.852
_cell_length_b 8.852
_cell_length_c 7.615
_cell_angle_alpha 90.00
_cell_angle_beta 90.00
_cell_angle_gamma 50.04
loop_
_space_group_symop_operation_xyz
'x,y,z'
loop_
_atom_site_label
_atom_site_type_symbol
_atom_site_fract_x
_atom_site_fract_y
_atom_site_fract_z
Ho1 Ho 0.000 0.000 0.000
Ho2 Ho 0.054 0.710 0.672
Ho3 Ho 0.210 0.554 0.172
Ho4 Ho 0.290 0.946 0.672
Ho5 Ho 0.446 0.790 0.172
Ho6 Ho 0.500 0.500 0.500
Ho7 Ho 0.554 0.210 0.828
Ho8 Ho 0.710 0.054 0.328
Ho9 Ho 0.790 0.446 0.828
Ho10 Ho 0.946 0.290 0.328
Cd1 Cd 0.217 0.217 0.000
Cd2 Cd 0.283 0.283 0.500
Cd3 Cd 0.717 0.717 0.500
Cd4 Cd 0.783 0.783 0.000
Ir1 Ir 0.131 0.869 0.367
Ir2 Ir 0.369 0.631 0.867
Ir3 Ir 0.631 0.369 0.133
Ir4 Ir 0.869 0.131 0.633
```

Output
Energy relative to the elements   -5.21 eV per formula unit
Total magnetic moment   0.000 μB per formula unit
Calculated density   10.412 g cm⁻³


Entry from the Alexandria database: a geometry-optimized Ho3Cd2Ir structure (PBE).

```
data_Ho3Cd2Ir
_chemical_formula_sum 'Ho6 Cd4 Ir2'
_space_group_name_H-M_alt 'P 1'
_space_group_IT_number 1
_cell_length_a 7.958
_cell_length_b 7.958
_cell_length_c 7.468
_cell_angle_alpha 90.00
_cell_angle_beta 90.00
_cell_angle_gamma 143.12
loop_
_space_group_symop_operation_xyz
'x,y,z'
loop_
_atom_site_label
_atom_site_type_symbol
_atom_site_fract_x
_atom_site_fract_y
_atom_site_fract_z
Ho1 Ho 0.000 0.000 0.233
Ho2 Ho 0.000 0.000 0.767
Ho3 Ho 0.325 0.675 0.222
Ho4 Ho 0.325 0.675 0.778
Ho5 Ho 0.675 0.325 0.222
Ho6 Ho 0.675 0.325 0.778
Cd1 Cd 0.165 0.835 0.500
Cd2 Cd 0.500 0.500 0.000
Cd3 Cd 0.500 0.500 0.500
Cd4 Cd 0.835 0.165 0.500
Ir1 Ir 0.157 0.843 0.000
Ir2 Ir 0.843 0.157 0.000
```

Output
Energy relative to the elements   -3.20 eV per formula unit
Total magnetic moment   0.000 μB per formula unit
Calculated density   10.668 g cm⁻³


Copy entry 3 word for word.
Entry from the Alexandria database: a geometry-optimized HoZrCdIn structure (PBE).

```
data_HoZrCdIn
_chemical_formula_sum 'Ho1 Zr1 Cd1 In1'
_space_group_name_H-M_alt 'P 1'
_space_group_IT_number 1
_cell_length_a 5.122
_cell_length_b 5.122
_cell_length_c 5.122
_cell_angle_alpha 60.00
_cell_angle_beta 60.00
_cell_angle_gamma 60.00
loop_
_space_group_symop_operation_xyz
'x,y,z'
loop_
_atom_site_label
_atom_site_type_symbol
_atom_site_fract_x
_atom_site_fract_y
_atom_site_fract_z
Ho1 Ho 0.000 0.000 0.000
Zr1 Zr 0.500 0.500 0.500
Cd1 Cd 0.250 0.250 0.250
In1 In 0.750 0.750 0.750
```

Output
Energy relative to the elements   -0.99 eV per formula unit
Total magnetic moment   0.000 μB per formula unit
Calculated density   8.448 g cm⁻³